# Dy2Er6Tm | Alexandria | PBE-GGA | optimized geometry
data_Dy2Er6Tm
_chemical_formula_sum 'Dy2 Er6 Tm1'
_space_group_name_H-M_alt 'P 1'
_space_group_IT_number 1
_cell_length_a 3.5067
_cell_length_b 8.5743
_cell_length_c 12.6182
_cell_angle_alpha 132.77
_cell_angle_beta 82.02
_cell_angle_gamma 90.07
loop_
_space_group_symop_operation_xyz
'x,y,z'
loop_
_atom_site_label
_atom_site_fract_x
_atom_site_fract_y
_atom_site_fract_z
Dy1 0.4450 0.7785 0.1111
Er1 0.2220 0.8880 0.5552
Dy2 0.5550 0.2215 0.8889
Er2 0.1116 0.4443 0.7771
Er3 0.8884 0.5557 0.2229
Tm1 0.0000 0.0000 0.0000
Er4 0.6664 0.6666 0.6666
Er5 0.3336 0.3334 0.3334
Er6 0.7780 0.1120 0.4448
# Electronic total energy: -4.54 eV per atom
# SG: P-1
# E_form: 0.022 eV/atom

---

# PmTm2Th | Alexandria | PBE-GGA | optimized geometry
data_PmTm2Th
_chemical_formula_sum 'Pm1 Tm2 Th1'
_space_group_name_H-M_alt 'P 1'
_space_group_IT_number 1
_cell_length_a 3.5690
_cell_length_b 3.5690
_cell_length_c 9.9448
_cell_angle_alpha 90.00
_cell_angle_beta 90.00
_cell_angle_gamma 90.00
loop_
_space_group_symop_operation_xyz
'x,y,z'
loop_
_atom_site_label
_atom_site_fract_x
_atom_site_fract_y
_atom_site_fract_z
Pm1 0.5000 0.5000 0.5000
Th1 0.5000 0.5000 0.0000
Tm1 0.0000 0.0000 0.7576
Tm2 0.0000 0.0000 0.2424
# Electronic total energy: -5.26 eV per atom
# SG: P4/mmm
# E_form: 0.014 eV/atom

---

# Pu5In | Alexandria | PBE-GGA | optimized geometry
data_Pu5In
_chemical_formula_sum 'Pu5 In1'
_space_group_name_H-M_alt 'P 1'
_space_group_IT_number 1
_cell_length_a 4.6633
_cell_length_b 4.5367
_cell_length_c 7.5221
_cell_angle_alpha 107.55
_cell_angle_beta 90.00
_cell_angle_gamma 90.00
loop_
_space_group_symop_operation_xyz
'x,y,z'
loop_
_atom_site_label
_atom_site_fract_x
_atom_site_fract_y
_atom_site_fract_z
In1 0.0000 0.0000 0.0000
Pu1 0.0000 0.3342 0.6683
Pu2 0.5000 0.5000 0.0000
Pu3 0.5000 0.1619 0.3239
Pu4 0.5000 0.8381 0.6761
Pu5 0.0000 0.6658 0.3317
# Electronic total energy: -12.28 eV per atom
# SG: Cmmm
# E_form: 0.123 eV/atom

---

# Zr5NbTc6 | Alexandria | PBE-GGA | optimized geometry
data_Zr5NbTc6
_chemical_formula_sum 'Zr5 Nb1 Tc6'
_space_group_name_H-M_alt 'P 1'
_space_group_IT_number 1
_cell_length_a 4.6473
_cell_length_b 6.5460
_cell_length_c 8.0161
_cell_angle_alpha 114.10
_cell_angle_beta 106.85
_cell_angle_gamma 90.00
loop_
_space_group_symop_operation_xyz
'x,y,z'
loop_
_atom_site_label
_atom_site_fract_x
_atom_site_fract_y
_atom_site_fract_z
Zr1 0.3335 0.3335 0.6670
Tc1 0.8362 0.5894 0.6725
Zr2 0.3338 0.8338 0.6675
Tc2 0.1638 0.9170 0.3275
Tc3 0.5000 0.2433 0.0000
Tc4 0.8362 0.0830 0.6725
Zr3 0.0000 0.5000 0.0000
Zr4 0.6665 0.6665 0.3330
Tc5 0.5000 0.7567 0.0000
Tc6 0.1638 0.4106 0.3275
Zr5 0.6662 0.1662 0.3325
Nb1 0.0000 0.0000 0.0000
# Electronic total energy: -9.94 eV per atom
# SG: Immm
# E_form: -0.361 eV/atom

---

- Look up the electronic total energy of the fourth one.
  -9.94 eV per atom